Below is a relaxed Na4AgHg2 crystal, with properties calculated at the PBE-GGA level. Values from VASP.

Quantum ESPRESSO input file:
```
&SYSTEM
  ibrav = 0, nat = 7, ntyp = 3
/
ATOMIC_SPECIES
Na 22.99 Na.upf
Ag 107.87 Ag.upf
Hg 200.59 Hg.upf
ATOMIC_POSITIONS crystal
Na 0.118 0.118 0.118
Na 0.372 0.372 0.372
Na 0.628 0.628 0.628
Na 0.882 0.882 0.882
Ag 0.500 0.500 0.500
Hg 0.243 0.243 0.243
Hg 0.757 0.757 0.757
CELL_PARAMETERS angstrom
2.595 1.498 8.186
-2.595 1.498 8.186
0.000 -2.996 8.186
```

energy above the lowest structure with this stoichiometry = 0 meV per atom
ΔE_f = -12 kJ per mole of atoms

=====

Below is a relaxed NaAgHg2 crystal, with properties calculated at the PBE-GGA level. Values from VASP.

Quantum ESPRESSO input file:
```
&SYSTEM
  ibrav = 0, nat = 4, ntyp = 3
/
ATOMIC_SPECIES
Na 22.99 Na.upf
Ag 107.87 Ag.upf
Hg 200.59 Hg.upf
ATOMIC_POSITIONS crystal
Na 0.000 0.000 0.000
Ag 0.208 0.208 0.208
Hg 0.556 0.556 0.556
Hg 0.779 0.779 0.779
CELL_PARAMETERS angstrom
2.456 1.418 4.827
-2.456 1.418 4.827
0.000 -2.836 4.827
```

energy above the lowest structure with this stoichiometry = 39 meV per atom
ΔE_f = -7 kJ per mole of atoms

=====

Below is a relaxed NaAg2Hg2 crystal, with properties calculated at the PBE-GGA level. Values from VASP.

Quantum ESPRESSO input file:
```
&SYSTEM
  ibrav = 0, nat = 10, ntyp = 3
/
ATOMIC_SPECIES
Na 22.99 Na.upf
Ag 107.87 Ag.upf
Hg 200.59 Hg.upf
ATOMIC_POSITIONS crystal
Na 0.207 0.367 0.309
Na 0.793 0.633 0.691
Ag 0.247 0.983 0.048
Ag 0.464 0.738 0.383
Ag 0.536 0.262 0.617
Ag 0.753 0.017 0.952
Hg 0.144 0.021 0.660
Hg 0.262 0.514 0.911
Hg 0.738 0.486 0.089
Hg 0.856 0.979 0.340
CELL_PARAMETERS angstrom
5.505 0.000 0.000
2.424 5.047 0.000
1.411 1.011 8.024
```

energy above the lowest structure with this stoichiometry = 0 meV per atom
ΔE_f = -6 kJ per mole of atoms